[1]
DFT (GGA-PBE) results for an optimized crystal structure of CdRh2Au.

Cell lengths 2.9207, 4.8104, 9.4331 Å; angles 90.00, 90.00, 90.00 degrees
Last column: nearest neighbours and their distance in Å.
Space group Cmmm (No. 65)
One atom of each set of equivalent atoms:
Cd (0.0000, 0.0000, 0.0000)  4 Rh 2.76, 6 Cd 2.81-2.92
Rh (0.0000, 0.5000, 0.2488)  2 Cd 2.76, 2 Au 2.78, 6 Rh 2.81-2.92
Au (0.0000, 0.0000, 0.5000)  4 Rh 2.78, 6 Au 2.81-2.92

Properties
As for the energy: -36.3 eV per cell. As for the calculated volume: 16.566 A^3/atom.

=====

[2]
DFT (GGA-PBE) results for an optimized crystal structure of CdRh2Au.

Cell lengths 4.0552, 4.0552, 8.0113 Å; angles 90.00, 90.00, 90.00 degrees
Last column: nearest neighbours and their distance in Å.
Space group I-4m2 (No. 119)
One atom of each set of equivalent atoms:
Cd (0.0000, 0.0000, 0.0000)  8 Rh 2.85-2.87, 4 Au 2.85
Rh (0.0000, 0.0000, 0.5000)  4 Rh 2.85, 4 Au 2.85, 4 Cd 2.87
Rh (0.0000, 0.5000, 0.7500)  4 Cd 2.85, 4 Rh 2.85, 4 Au 2.87
Au (0.0000, 0.5000, 0.2500)  4 Cd 2.85, 8 Rh 2.85-2.87

Properties
As for the energy: -37.4 eV per cell. As for the calculated volume: 16.468 A^3/atom.

=====

[3]
DFT (GGA-PBE) results for an optimized crystal structure of Cd7RhAu4.

Cell lengths 12.9549, 5.1339, 9.6645 Å; angles 90.00, 124.85, 90.00 degrees
Last column: nearest neighbours and their distance in Å.
Space group C2/m (No. 12)
One atom of each set of equivalent atoms:
Cd (0.0000, 0.0000, 0.0000)  2 Rh 2.57, 4 Au 2.72-2.80
Cd (0.0918, 0.5000, 0.3346)  1 Rh 2.73, 3 Au 2.79-3.04, 2 Cd 2.95-2.96
Cd (0.1481, 0.0000, 0.5749)  4 Au 2.72-2.88, 1 Cd 2.96
Cd (0.1836, 0.5000, 0.9145)  4 Au 2.91-3.04, 1 Rh 2.93, 3 Cd 2.95-3.01
Rh (0.0000, 0.5000, 0.0000)  4 Cd 2.57-2.73
Au (0.0617, 0.0000, 0.7736)  8 Cd 2.72-3.04
Au (0.2288, 0.0000, 0.3178)  5 Cd 2.79-3.04

Properties
As for the energy: -53.5 eV per cell. As for the calculated volume: 21.980 A^3/atom.

=====

[4]
DFT (GGA-PBE) results for an optimized crystal structure of Cd3RhAu.

Cell lengths 5.1131, 5.1131, 5.1131 Å; angles 90.00, 90.00, 90.00 degrees
Last column: nearest neighbours and their distance in Å.
Space group Pm-3m (No. 221)
One atom of each set of equivalent atoms:
Cd (0.0000, 0.0000, 0.5000)  2 Rh 2.56
Rh (0.0000, 0.0000, 0.0000)  6 Cd 2.56
Au (0.5000, 0.5000, 0.5000)  12 Cd 3.62

Properties
As for the energy: -11.4 eV per cell. As for the calculated volume: 26.735 A^3/atom. The relative energy among the computed polymorphs comes out at 2.21 eV/f.u.

=====

[5]
DFT (GGA-PBE) results for an optimized crystal structure of CdRhAu2.

Cell lengths 9.6069, 3.0550, 4.8906 Å; angles 90.00, 102.07, 90.00 degrees
Last column: nearest neighbours and their distance in Å.
Space group C2/m (No. 12)
One atom of each set of equivalent atoms:
Cd (0.0000, 0.0000, 0.0000)  4 Rh 2.88, 6 Au 2.89-2.94, 2 Cd 3.05
Rh (0.0000, 0.5000, 0.5000)  6 Au 2.84-2.94, 4 Cd 2.88, 2 Rh 3.05
Au (0.2446, 0.0000, 0.7420)  6 Au 2.84-3.05, 3 Rh 2.84-2.94, 3 Cd 2.89-2.94

Properties
As for the energy: -29.6 eV per cell. As for the calculated volume: 17.545 A^3/atom.

=====

[6]
DFT (GGA-PBE) results for an optimized crystal structure of CdRhAu2.

Cell lengths 4.1986, 4.1986, 7.9476 Å; angles 90.00, 90.00, 90.00 degrees
Last column: nearest neighbours and their distance in Å.
Space group I4/mmm (No. 139)
One atom of each set of equivalent atoms:
Cd (0.0000, 0.0000, 0.0000)  8 Au 2.89, 4 Rh 2.97
Rh (0.0000, 0.0000, 0.5000)  8 Au 2.89, 4 Cd 2.97
Au (0.0000, 0.5000, 0.2500)  4 Cd 2.89, 4 Rh 2.89, 4 Au 2.97

Properties
As for the energy: -29.9 eV per cell. As for the calculated volume: 17.512 A^3/atom.

=====

[7]
DFT (GGA-PBE) results for an optimized crystal structure of CdRhAu2.

Cell lengths 4.0612, 4.0612, 4.2237 Å; angles 90.00, 90.00, 90.00 degrees
Last column: nearest neighbours and their distance in Å.
Space group P4/mmm (No. 123)
One atom of each set of equivalent atoms:
Cd (0.0000, 0.0000, 0.0000)  4 Rh 2.87, 8 Au 2.93
Rh (0.5000, 0.5000, 0.0000)  4 Cd 2.87, 8 Au 2.93
Au (0.0000, 0.5000, 0.5000)  4 Au 2.87, 4 Cd 2.93, 4 Rh 2.93

Properties
As for the energy: -15.1 eV per cell. As for the calculated volume: 17.416 A^3/atom.

=====

[8]
DFT (GGA-PBE) results for an optimized crystal structure of CdRh2Au.

Cell lengths 3.8688, 3.8688, 19.4485 Å; angles 90.00, 90.00, 90.00 degrees
Last column: nearest neighbours and their distance in Å.
Space group I-42d (No. 122)
One atom of each set of equivalent atoms:
Cd (0.0000, 0.0000, 0.0000)  4 Au 2.74, 4 Rh 2.82
Rh (0.2278, 0.2500, 0.6250)  4 Rh 2.62-2.86, 2 Au 2.76, 2 Cd 2.82
Au (0.0000, 0.0000, 0.5000)  4 Cd 2.74, 4 Rh 2.76

Properties
As for the energy: -69.5 eV per cell. As for the calculated volume: 18.194 A^3/atom.

=====

[9]
DFT (GGA-PBE) results for an optimized crystal structure of CdRh2Au.

Cell lengths 9.3955, 2.8713, 4.9290 Å; angles 90.00, 100.21, 90.00 degrees
Last column: nearest neighbours and their distance in Å.
Space group C2/m (No. 12)
One atom of each set of equivalent atoms:
Cd (0.0000, 0.0000, 0.0000)  6 Rh 2.85, 4 Au 2.85, 2 Cd 2.87
Rh (0.2498, 0.0000, 0.7455)  6 Rh 2.81-2.89, 3 Au 2.83, 3 Cd 2.85
Au (0.0000, 0.5000, 0.5000)  6 Rh 2.83, 4 Cd 2.85, 2 Au 2.87

Properties
As for the energy: -37.4 eV per cell. As for the calculated volume: 16.358 A^3/atom.

=====

[10]
DFT (GGA-PBE) results for an optimized crystal structure of CdRhAu.

Cell lengths 3.0169, 3.9349, 8.7646 Å; angles 90.00, 90.00, 90.00 degrees
Last column: nearest neighbours and their distance in Å.
Space group Imm2 (No. 44)
One atom of each set of equivalent atoms:
Cd (0.0000, 0.0000, 0.0000)  5 Rh 2.86-2.96, 5 Au 2.86-2.91, 2 Cd 3.02
Rh (0.0000, 0.0000, 0.3372)  5 Cd 2.86-2.96, 5 Au 2.86-2.95, 2 Rh 3.02
Au (0.0000, 0.0000, 0.6734)  5 Cd 2.86-2.91, 5 Rh 2.86-2.95, 2 Au 3.02

Properties
As for the energy: -23.1 eV per cell. As for the calculated volume: 17.341 A^3/atom. The relative energy among the computed polymorphs comes out at 0.04 eV/f.u.

=====

[11]
DFT (GGA-PBE) results for an optimized crystal structure of Cd8RhAu2.

Cell lengths 4.5308, 7.5757, 13.0144 Å; angles 90.00, 90.00, 90.00 degrees
Last column: nearest neighbours and their distance in Å.
Space group Immm (No. 71)
One atom of each set of equivalent atoms:
Cd (0.0000, 0.0000, 0.1498)  8 Cd 2.95-3.13, 2 Rh 2.99, 2 Au 3.05
Cd (0.0000, 0.2235, 0.3522)  1 Rh 2.84, 3 Au 2.89-2.94, 5 Cd 2.97-3.13
Cd (0.0000, 0.2929, 0.0000)  7 Cd 2.95-3.14, 2 Au 2.97, 2 Rh 3.17
Rh (0.0000, 0.5000, 0.5000)  12 Cd 2.84-3.17
Au (0.0000, 0.5000, 0.1938)  10 Cd 2.89-3.05

Properties
As for the energy: -45.4 eV per cell. As for the calculated volume: 20.305 A^3/atom.

=====

[12]
DFT (GGA-PBE) results for an optimized crystal structure of Cd2Rh2Au.

Cell lengths 6.8445, 6.8445, 3.9565 Å; angles 90.00, 90.00, 90.00 degrees
Last column: nearest neighbours and their distance in Å.
Space group P4/mbm (No. 127)
One atom of each set of equivalent atoms:
Cd (0.1692, 0.3308, 0.0000)  6 Rh 2.77-2.86
Rh (0.1307, 0.6307, 0.5000)  1 Rh 2.53, 2 Au 2.68, 2 Cd 2.77
Au (0.0000, 0.0000, 0.5000)  4 Rh 2.68

Properties
As for the energy: -39.5 eV per cell. As for the calculated volume: 18.535 A^3/atom. The relative energy among the computed polymorphs comes out at 0.00 eV/f.u.